[1]
The following is a DFT calculation (PBE) of crystalline CoPtSe3 at its relaxed geometry.

Cell: 4.5900 4.5900 4.5900 Å, 90.00 90.00 90.00°
Positions (direct):
Co  0.0000  0.0000  0.0000
Pt  0.5000  0.5000  0.5000
Se  0.0000  0.0000  0.5000
Se  0.0000  0.5000  0.0000
Se  0.5000  0.0000  0.0000

Summary:
E above lowest polymorph: 0 meV per atom

[2]
The following is a DFT calculation (PBE) of crystalline CoPtSe2 at its relaxed geometry.

Cell: 5.9819 5.9819 4.1673 Å, 96.01 96.01 30.35°
Positions (direct):
Co  0.0000  0.0000  0.0000
Pt  0.8038  0.8038  0.2751
Se  0.3442  0.3442  0.7925
Se  0.5900  0.5900  0.3324

Summary:
E above lowest polymorph: 218 meV per atom

[3]
The following is a DFT calculation (PBE) of crystalline CoPtSe2 at its relaxed geometry.

Cell: 4.4763 4.4763 4.4763 Å, 60.00 60.00 60.00°
Positions (direct):
Co  0.0000  0.0000  0.0000
Pt  0.5000  0.5000  0.5000
Se  0.2500  0.2500  0.2500
Se  0.7500  0.7500  0.7500

Summary:
E above lowest polymorph: 480 meV per atom

[4]
The following is a DFT calculation (PBE) of crystalline Co2PtSe at its relaxed geometry.

Cell: 4.3000 4.3000 4.3000 Å, 60.00 60.00 60.00°
Positions (direct):
Co  0.0000  0.0000  0.0000
Co  0.2500  0.2500  0.2500
Pt  0.5000  0.5000  0.5000
Se  0.7500  0.7500  0.7500

Record-wise raw total energy values, in eV per atom: -4.049 -4.989 -4.727 -5.558
Record-wise ΔE_f (raw) values, in eV per atom: 0.671 0.040 0.301 0.376
Record-wise total magnetization values, in μB/cell: 0.00 0.00 0.68 3.04